No. 1
First-principles (PBE) data for a relaxed structure of CdIrPt2, as listed in the Alexandria database.

Unit cell a=2.7806 b=4.8466 c=9.8127 alpha=90.00 beta=90.00 gamma=90.00
Space group Imm2 (No. 44)
Inequivalent atoms, fractional coordinates:
Cd 0.0000 0.0000 0.0000 x2
Ir 0.0000 0.5000 0.7592 x2
Pt 0.0000 0.0000 0.4916 x2
Pt 0.0000 0.5000 0.2388 x2

Output
Calculated total energy: -5.433 eV/atom
Energy of formation: 3.07 kJ per mole of atoms
V: 132 Å³ per cell



No. 2
First-principles (PBE) data for a relaxed structure of MgBeGa3, as listed in the Alexandria database.

Unit cell a=5.0503 b=5.0503 c=5.0503 alpha=90.00 beta=90.00 gamma=90.00
Space group Pm-3m (No. 221)
Inequivalent atoms, fractional coordinates:
Mg 0.0000 0.0000 0.0000 x1
Be 0.5000 0.5000 0.5000 x1
Ga 0.0000 0.0000 0.5000 x3

Output
Distance to the lowest polymorph of the same formula: 0.747 eV per atom
Calculated total energy: -1.929 eV/atom
Energy of formation: 91.78 kJ per mole of atoms
V: 129 Å³ per cell



No. 3
First-principles (PBE) data for a relaxed structure of BaSn3Rh, as listed in the Alexandria database.

Unit cell a=6.0204 b=6.0204 c=6.0204 alpha=90.00 beta=90.00 gamma=90.00
Space group Pm-3m (No. 221)
Inequivalent atoms, fractional coordinates:
Ba 0.0000 0.0000 0.0000 x1
Sn 0.0000 0.0000 0.5000 x3
Rh 0.5000 0.5000 0.5000 x1

Output
Calculated total energy: -2.606 eV/atom
Energy of formation: 159.29 kJ per mole of atoms
V: 218 Å³ per cell